No. 1
Here is CaBeCl2 after structural relaxation from Alexandria via LeMat-Bulk. Energies are from GGA-PBE.

- ΔE_f (raw) (eV/atom) = -0.71
- magnetization (μB per atom) = 0.0000
- crystal system = cubic

```
data_CaBeCl2
_chemical_formula_sum 'Ca4 Be4 Cl8'
_cell_length_a 7.057
_cell_length_b 7.057
_cell_length_c 7.057
_cell_angle_alpha 90.00
_cell_angle_beta 90.00
_cell_angle_gamma 90.00
_symmetry_space_group_name_H-M 'F m -3 m'
_symmetry_Int_Tables_number 225
_symmetry_space_group_name_Hall '-F 4 2 3'
loop_
_atom_site_label
_atom_site_type_symbol
_atom_site_fract_x
_atom_site_fract_y
_atom_site_fract_z
Ca1 Ca 0.000 0.000 0.000
Be1 Be 0.000 0.000 0.500
Cl1 Cl 0.250 0.250 0.250
```

No. 2
Here is LuScGaPb after structural relaxation from Alexandria via LeMat-Bulk. Energies are from GGA-PBE.

- magnetization (μB per atom) = 0.0000
- crystal system = cubic
- formation energy (eV/atom) = -0.344

```
data_LuScGaPb
_chemical_formula_sum 'Lu4 Sc4 Ga4 Pb4'
_cell_length_a 7.209
_cell_length_b 7.209
_cell_length_c 7.209
_cell_angle_alpha 90.00
_cell_angle_beta 90.00
_cell_angle_gamma 90.00
_symmetry_space_group_name_H-M 'F -4 3 m'
_symmetry_Int_Tables_number 216
_symmetry_space_group_name_Hall 'F -4 2 3'
loop_
_atom_site_label
_atom_site_type_symbol
_atom_site_fract_x
_atom_site_fract_y
_atom_site_fract_z
Lu1 Lu 0.000 0.000 0.000
Sc1 Sc 0.000 0.000 0.500
Ga1 Ga 0.250 0.250 0.250
Pb1 Pb 0.250 0.250 0.750
```

No. 3
Here is CeSi2 after structural relaxation from Alexandria via LeMat-Bulk. Energies are from GGA-PBE.

- ΔE_f (raw) (eV/atom) = -0.66
- magnetization (μB per atom) = 0.0003
- crystal system = tetragonal

```
data_CeSi2
_chemical_formula_sum 'Ce4 Si8'
_cell_length_a 4.094
_cell_length_b 4.094
_cell_length_c 14.139
_cell_angle_alpha 90.00
_cell_angle_beta 90.00
_cell_angle_gamma 90.00
_symmetry_space_group_name_H-M 'I 41/a m d'
_symmetry_Int_Tables_number 141
loop_
_symmetry_equiv_pos_as_xyz
'x,y,z'
'-x,-y,-z'
'-y+1/4,x+3/4,z+1/4'
'y+1/4,-x+3/4,-z+1/4'
'-x+1/2,-y,z+1/2'
'x+1/2,y,-z+1/2'
'y+1/4,-x+1/4,z+3/4'
'-y+1/4,x+1/4,-z+3/4'
'x,-y,-z'
'-x,y,z'
'-y+1/4,-x+1/4,-z+3/4'
'y+1/4,x+1/4,z+3/4'
'-x+1/2,y,-z+1/2'
'x+1/2,-y,z+1/2'
'y+1/4,x+3/4,-z+1/4'
'-y+1/4,-x+3/4,z+1/4'
'x+1/2,y+1/2,z+1/2'
'-x+1/2,-y+1/2,-z+1/2'
'-y+3/4,x+1/4,z+3/4'
'y+3/4,-x+1/4,-z+3/4'
'-x,-y+1/2,z'
'x,y+1/2,-z'
'y+3/4,-x+3/4,z+1/4'
'-y+3/4,x+3/4,-z+1/4'
'x+1/2,-y+1/2,-z+1/2'
'-x+1/2,y+1/2,z+1/2'
'-y+3/4,-x+3/4,-z+1/4'
'y+3/4,x+3/4,z+1/4'
'-x,y+1/2,-z'
'x,-y+1/2,z'
'y+3/4,x+1/4,-z+3/4'
'-y+3/4,-x+1/4,z+3/4'
loop_
_atom_site_label
_atom_site_type_symbol
_atom_site_fract_x
_atom_site_fract_y
_atom_site_fract_z
Ce1 Ce 0.000 0.250 0.375
Si1 Si 0.000 0.250 0.792
```